# 1
Density functional theory data (PBE-GGA) for a geometry-optimized AlFe2H structure.

Values from the calculation:
Symmetry: I-42d, No. 122
ΔE to the lowest computed polymorph, eV/atom: 0.140

a b c (Å): 4.729 4.729 4.729
angles (deg): 107.93 107.93 112.60
Element x y z (fractional)
Al: 0.000 0.000 0.000
Al: 0.750 0.250 0.500
Fe: 0.242 0.125 0.617
Fe: 0.375 0.758 0.883
Fe: 0.508 0.625 0.383
Fe: 0.875 0.492 0.117
H: 0.250 0.750 0.500
H: 0.500 0.500 0.000



# 2
Density functional theory data (PBE-GGA) for a geometry-optimized Tl4SnI5 structure.

Values from the calculation:
Symmetry: I4, No. 79
Calculated total energy, eV/atom: -2.612

a b c (Å): 8.568 8.568 8.568
angles (deg): 99.89 99.89 131.04
Element x y z (fractional)
Tl: 0.092 0.701 0.792
Tl: 0.299 0.092 0.391
Tl: 0.701 0.908 0.609
Tl: 0.908 0.299 0.208
Sn: 0.499 0.499 0.000
I: 0.220 0.401 0.621
I: 0.401 0.780 0.182
I: 0.598 0.220 0.818
I: 0.780 0.598 0.379
I: 0.998 0.998 0.000



# 3
Density functional theory data (PBE-GGA) for a geometry-optimized Y2ThI structure.

Values from the calculation:
Symmetry: R-3m, No. 166
ΔE to the lowest computed polymorph, eV/atom: 0.000

a b c (Å): 10.639 10.639 10.639
angles (deg): 20.30 20.30 20.30
Element x y z (fractional)
Y: 0.246 0.246 0.246
Y: 0.754 0.754 0.754
Th: 0.000 0.000 0.000
I: 0.500 0.500 0.500



# 4
Density functional theory data (PBE-GGA) for a geometry-optimized La2ReMo structure.

Values from the calculation:
Formation energy, meV/atom: 743
Symmetry: Cmmm, No. 65
ΔE to the lowest computed polymorph, eV/atom: 0.565

a b c (Å): 3.122 3.122 9.695
angles (deg): 90.00 90.00 114.14
Element x y z (fractional)
La: 0.000 0.000 0.244
La: 0.000 0.000 0.756
Re: 0.500 0.500 0.000
Mo: 0.500 0.500 0.500



# 5
Density functional theory data (PBE-GGA) for a geometry-optimized ErPa2P4 structure.

Values from the calculation:
Formation energy, meV/atom: -1042
Symmetry: Cmcm, No. 63

a b c (Å): 6.914 6.914 12.655
angles (deg): 90.00 90.00 146.95
Element x y z (fractional)
Er: 0.117 0.883 0.750
Er: 0.883 0.117 0.250
Pa: 0.369 0.631 0.567
Pa: 0.369 0.631 0.933
Pa: 0.631 0.369 0.067
Pa: 0.631 0.369 0.433
P: 0.000 0.000 0.000
P: 0.000 0.000 0.500
P: 0.268 0.732 0.125
P: 0.268 0.732 0.375
P: 0.470 0.530 0.750
P: 0.530 0.470 0.250
P: 0.732 0.268 0.625
P: 0.732 0.268 0.875



# 6
Density functional theory data (PBE-GGA) for a geometry-optimized Li4LaP2 structure.

Values from the calculation:
Formation energy, meV/atom: -829
Symmetry: P4_2/mnm, No. 136

a b c (Å): 7.704 7.704 4.107
angles (deg): 90.00 90.00 90.00
Element x y z (fractional)
Li: 0.094 0.332 0.000
Li: 0.168 0.594 0.500
Li: 0.332 0.094 0.000
Li: 0.406 0.832 0.500
Li: 0.594 0.168 0.500
Li: 0.668 0.906 0.000
Li: 0.832 0.406 0.500
Li: 0.906 0.668 0.000
La: 0.000 0.000 0.500
La: 0.500 0.500 0.000
P: 0.214 0.786 0.000
P: 0.286 0.286 0.500
P: 0.714 0.714 0.500
P: 0.786 0.214 0.000



The following magnetization values (in μB/f.u.) correspond, in order, to the records above: 3.93, 0.00, 0.00, 0.00, 0.00, 0.01.